Entry from Alexandria via LeMat-Bulk: a relaxed BPd2Ru crystal (PBE).

Calculated values
V: 110.3 Å³/cell
Space group: No. 122
Formation energy from the elements: 0.312 eV per atom

Lattice parameters (Å, degrees): 6.866 6.866 5.389 50.43 50.43 90.00
Sites, in units of the cell vectors:
Ru 0.000 0.000 0.000
Ru 0.750 0.250 0.500
B 0.500 0.500 0.000
B 0.250 0.750 0.500
Pd 0.529 0.125 0.250
Pd 0.221 0.625 0.250
Pd 0.375 0.471 0.750
Pd 0.875 0.779 0.750

=====

Entry from Alexandria via LeMat-Bulk: a relaxed SnGe2Rh crystal (PBE).

Calculated values
V: 82.9 Å³/cell
Space group: No. 166
Formation energy from the elements: -0.079 eV per atom

Lattice parameters (Å, degrees): 3.291 3.291 9.037 79.51 79.51 60.00
Sites, in units of the cell vectors:
Ge 0.105 0.105 0.686
Ge 0.895 0.895 0.314
Rh 0.500 0.500 0.500
Sn 0.000 0.000 0.000

=====

Entry from Alexandria via LeMat-Bulk: a relaxed AcCeZn crystal (PBE).

Calculated values
V: 86.7 Å³/cell
Space group: No. 156
Distance to the lowest polymorph of the same formula: 135 meV per atom
Formation energy from the elements: 0.046 eV per atom

Lattice parameters (Å, degrees): 3.873 5.085 5.085 120.00 90.00 90.00
Sites, in units of the cell vectors:
Ac 0.658 0.667 0.333
Zn 0.291 0.333 0.667
Ce 0.050 0.000 0.000

=====

Entry from Alexandria via LeMat-Bulk: a relaxed NiSn4Pd crystal (PBE).

Calculated values
V: 133.0 Å³/cell
Space group: No. 123
Distance to the lowest polymorph of the same formula: 0 meV per atom
Formation energy from the elements: -0.273 eV per atom

Lattice parameters (Å, degrees): 4.506 4.507 6.550 89.99 89.99 90.00
Sites, in units of the cell vectors:
Ni 0.001 0.997 0.498
Sn 0.501 0.997 0.258
Sn 0.501 0.997 0.738
Sn 0.001 0.497 0.738
Sn 0.001 0.497 0.258
Pd 0.501 0.497 0.998

=====

Entry from Alexandria via LeMat-Bulk: a relaxed Ta2BeIr crystal (PBE).

Calculated values
V: 61.1 Å³/cell
Space group: No. 12
Formation energy from the elements: -0.218 eV per atom

Lattice parameters (Å, degrees): 6.231 4.782 2.829 90.09 62.85 121.10
Sites, in units of the cell vectors:
Be 0.000 0.500 0.500
Ir 0.500 0.500 0.000
Ta 0.000 0.000 0.000
Ta 0.500 0.000 0.500

=====

Entry from Alexandria via LeMat-Bulk: a relaxed CaAsRu2 crystal (PBE).

Calculated values
V: 69.0 Å³/cell
Space group: No. 71
Formation energy from the elements: 0.086 eV per atom

Lattice parameters (Å, degrees): 5.389 5.389 5.389 146.73 125.55 65.32
Sites, in units of the cell vectors:
Ru 0.962 0.962 0.000
Ru 0.538 0.538 0.000
As 0.750 0.250 0.500
Ca 0.250 0.750 0.500

=====

Entry from Alexandria via LeMat-Bulk: a relaxed V5Pt7 crystal (PBE).

Calculated values
V: 181.6 Å³/cell
Space group: No. 12
Formation energy from the elements: -0.329 eV per atom

Lattice parameters (Å, degrees): 4.355 4.548 12.905 121.06 90.00 118.61
Sites, in units of the cell vectors:
V 0.137 0.275 0.443
V 0.863 0.725 0.557
V 0.305 0.611 0.233
V 0.695 0.389 0.767
V 0.000 0.000 0.000
Pt 0.266 0.532 0.676
Pt 0.734 0.468 0.324
Pt 0.949 0.898 0.202
Pt 0.051 0.102 0.798
Pt 0.612 0.225 0.944
Pt 0.500 0.000 0.500
Pt 0.388 0.775 0.056

=====

Entry from Alexandria via LeMat-Bulk: a relaxed Sc2BiS crystal (PBE).

Calculated values
V: 240.5 Å³/cell
Space group: No. 122
Distance to the lowest polymorph of the same formula: 354 meV per atom

Lattice parameters (Å, degrees): 6.224 6.224 7.610 65.86 65.86 90.00
Sites, in units of the cell vectors:
Sc 0.574 0.125 0.250
Sc 0.176 0.625 0.250
Sc 0.375 0.426 0.750
Sc 0.875 0.824 0.750
S 0.500 0.500 0.000
S 0.250 0.750 0.500
Bi 0.000 0.000 0.000
Bi 0.750 0.250 0.500

=====

Entry from Alexandria via LeMat-Bulk: a relaxed TlRhO3 crystal (PBE).

Calculated values
V: 279.3 Å³/cell
Space group: No. 15
Total DFT energy (no corrections): -5.57 eV/atom

Lattice parameters (Å, degrees): 5.435 7.206 7.206 84.71 94.72 94.72
Sites, in units of the cell vectors:
Tl 0.709 0.400 0.197
Tl 0.791 0.803 0.600
Tl 0.291 0.600 0.803
Tl 0.209 0.197 0.400
Rh 0.250 0.079 0.921
Rh 0.750 0.921 0.079
Rh 0.250 0.756 0.244
Rh 0.750 0.244 0.756
O 0.467 0.320 0.889
O 0.033 0.111 0.680
O 0.533 0.680 0.111
O 0.967 0.889 0.320
O 0.064 0.828 0.981
O 0.436 0.019 0.172
O 0.936 0.172 0.019
O 0.564 0.981 0.828
O 0.113 0.497 0.247
O 0.387 0.753 0.503
O 0.887 0.503 0.753
O 0.613 0.247 0.497

=====

Entry from Alexandria via LeMat-Bulk: a relaxed NiPPbCl2 crystal (PBE).

Calculated values
V: 157.5 Å³/cell
Space group: No. 123
Distance to the lowest polymorph of the same formula: 823 meV per atom

Lattice parameters (Å, degrees): 5.389 5.389 5.424 90.00 90.00 90.00
Sites, in units of the cell vectors:
Pb 0.000 0.000 0.000
Ni 0.500 0.500 0.500
P 0.000 0.000 0.500
Cl 0.000 0.500 0.000
Cl 0.500 0.000 0.000

=====

Entry from Alexandria via LeMat-Bulk: a relaxed MnGa2Se4 crystal (PBE).

Calculated values
V: 178.3 Å³/cell
Space group: No. 121
Distance to the lowest polymorph of the same formula: 11 meV per atom

Lattice parameters (Å, degrees): 7.028 7.028 7.028 133.72 133.72 67.52
Sites, in units of the cell vectors:
Mn 0.000 0.000 0.000
Ga 0.750 0.250 0.500
Ga 0.250 0.750 0.500
Se 0.854 0.390 0.000
Se 0.390 0.854 0.000
Se 0.146 0.146 0.536
Se 0.610 0.610 0.464

=====

Entry from Alexandria via LeMat-Bulk: a relaxed KY crystal (PBE).

Calculated values
V: 176.3 Å³/cell
Space group: No. 166
Formation energy from the elements: 0.278 eV per atom

Lattice parameters (Å, degrees): 14.272 14.272 14.272 15.30 15.30 15.30
Sites, in units of the cell vectors:
K 0.992 0.992 0.992
K 0.758 0.758 0.758
Y 0.510 0.510 0.510
Y 0.240 0.240 0.240

=====

Entry from Alexandria via LeMat-Bulk: a relaxed Mn2GaW crystal (PBE).

Calculated values
V: 52.0 Å³/cell
Space group: No. 123
Formation energy from the elements: -0.044 eV per atom

Lattice parameters (Å, degrees): 3.013 3.013 5.727 90.00 90.00 90.00
Sites, in units of the cell vectors:
Mn 0.000 0.000 0.750
Mn 0.000 0.000 0.250
Ga 0.500 0.500 0.500
W 0.500 0.500 0.000